{"formula": "ErTaH4", "functional": "PBE", "state": "optimized geometry", "lattice_angstrom": [[3.4050, 0.0000, 0.0000], [0.0000, 3.4050, 0.0000], [0.0000, 0.0000, 4.6577]], "species": ["Er", "H", "H", "H", "H", "Ta"], "frac_coords": [[0.0000, 0.0000, 0.0000], [0.5000, 0.0000, 0.2849], [0.0000, 0.5000, 0.2849], [0.5000, 0.0000, 0.7151], [0.0000, 0.5000, 0.7151], [0.5000, 0.5000, 0.5000]]}

***

{"formula": "ErTmH4", "functional": "PBE", "state": "optimized geometry", "lattice_angstrom": [[3.5840, 0.0000, 0.0000], [0.0000, 3.5840, 0.0000], [0.0000, 0.0000, 5.0578]], "species": ["Er", "H", "H", "H", "H", "Tm"], "frac_coords": [[0.0000, 0.0000, 0.0000], [0.5000, 0.0000, 0.2513], [0.0000, 0.5000, 0.2513], [0.5000, 0.0000, 0.7487], [0.0000, 0.5000, 0.7487], [0.5000, 0.5000, 0.5000]]}

***

{"formula": "YErH4", "functional": "PBE", "state": "optimized geometry", "lattice_angstrom": [[3.6298, 0.0000, 0.0000], [0.0000, 3.6298, 0.0000], [0.0000, 0.0000, 5.1210]], "species": ["Er", "H", "H", "H", "H", "Y"], "frac_coords": [[0.5000, 0.5000, 0.5000], [0.5000, 0.0000, 0.2547], [0.0000, 0.5000, 0.2547], [0.5000, 0.0000, 0.7453], [0.0000, 0.5000, 0.7453], [0.0000, 0.0000, 0.0000]]}

***

{"formula": "ErHf2", "functional": "PBE", "state": "optimized geometry", "lattice_angstrom": [[5.6176, 0.0000, 0.0000], [0.0000, 5.6176, 0.0000], [0.0000, 0.0000, 5.4896]], "species": ["Er", "Er", "Hf", "Hf", "Hf", "Hf"], "frac_coords": [[0.0000, 0.0000, 0.0000], [0.5000, 0.5000, 0.5000], [0.3350, 0.3350, 0.0000], [0.6650, 0.6650, 0.0000], [0.8350, 0.1650, 0.5000], [0.1650, 0.8350, 0.5000]], "e_above_lowest_polymorph_mev_per_atom": 1255}

***

{"formula": "ErHf2", "functional": "PBE", "state": "optimized geometry", "lattice_angstrom": [[2.9551, -1.4227, 5.0593], [1.3480, 4.2935, 4.0126], [-2.8550, 0.1692, 5.3078]], "species": ["Er", "Er", "Hf", "Hf", "Hf", "Hf"], "frac_coords": [[0.0000, 0.0000, 0.0000], [0.2500, 0.2500, 0.2500], [0.6250, 0.6250, 0.1250], [0.6250, 0.1250, 0.6250], [0.1250, 0.6250, 0.6250], [0.6250, 0.6250, 0.6250]], "e_above_lowest_polymorph_mev_per_atom": 196}

***

{"formula": "ErHf2", "functional": "PBE", "state": "optimized geometry", "lattice_angstrom": [[-3.1988, -0.2578, 6.9430], [-6.2379, -1.8393, 4.0261], [5.5208, -1.0328, -5.1921]], "species": ["Er", "Hf", "Hf"], "frac_coords": [[0.0000, 0.0000, 0.0000], [0.3219, 0.3219, 0.0000], [0.6781, 0.6781, 0.0000]], "e_above_lowest_polymorph_mev_per_atom": 0}

***

Number 1: total magnetic moment 0.00 Bohr magnetons per cell, energy -5.356 eV per atom. Number 2: total magnetic moment 0.00 Bohr magnetons per cell, energy -4.453 eV per atom. Number 3: total magnetic moment 0.00 Bohr magnetons per cell, energy -4.789 eV per atom. Number 4: total magnetic moment 0.08 Bohr magnetons per cell, energy -6.782 eV per atom. Number 5: total magnetic moment 4.80 Bohr magnetons per cell, energy -7.841 eV per atom. Number 6: total magnetic moment 0.01 Bohr magnetons per cell, energy -8.037 eV per atom.